[1]
A plane-wave DFT calculation with PBE was carried out for a relaxed structure of LiPr4Te5.

Results
Energy above the most stable polymorph in this dataset ... 0.0254 eV/atom
Space-group type ... No. 139
Crystal system ... tetragonal

Cell: 4.5137 4.5137 16.2592 Å, 97.98 97.98 90.00°
Fractional coordinates of all 10 atoms:
Te 0.0986 0.0986 0.1971
Te 0.6978 0.6978 0.3955
Pr 0.4031 0.4031 0.8062
Li 0.0000 0.0000 0.0000
Te 0.5000 0.5000 0.0000
Te 0.9014 0.9014 0.8029
Pr 0.2020 0.2020 0.4040
Pr 0.7980 0.7980 0.5960
Te 0.3022 0.3022 0.6045
Pr 0.5969 0.5969 0.1938


[2]
A plane-wave DFT calculation with PBE was carried out for a relaxed structure of LiPr2Te.

Results
Energy above the most stable polymorph in this dataset ... 0.0000 eV/atom
Space-group type ... No. 123
Crystal system ... tetragonal

Cell: 4.0943 4.0943 6.8778 Å, 90.00 90.00 90.00°
Fractional coordinates of all 4 atoms:
Pr 0.0000 0.0000 0.7525
Pr 0.0000 0.0000 0.2475
Li 0.5000 0.5000 0.0000
Te 0.5000 0.5000 0.5000


[3]
A plane-wave DFT calculation with PBE was carried out for a relaxed structure of Li2Pr3Te4.

Results
Energy above the most stable polymorph in this dataset ... 0.0000 eV/atom
Space-group type ... No. 12
Crystal system ... monoclinic

Cell: 4.2529 7.8289 8.5265 Å, 72.28 75.56 74.24°
Fractional coordinates of all 9 atoms:
Te 0.3170 0.2754 0.0905
Pr 0.3774 0.5283 0.7169
Pr 0.6226 0.4717 0.2831
Te 0.9184 0.7571 0.4062
Li 0.3163 0.9983 0.3690
Pr 0.0000 0.0000 0.0000
Te 0.0816 0.2429 0.5938
Li 0.6837 0.0017 0.6310
Te 0.6830 0.7246 0.9095


[4]
A plane-wave DFT calculation with PBE was carried out for a relaxed structure of Li2Pr3Te4.

Results
Energy above the most stable polymorph in this dataset ... 0.0383 eV/atom
Space-group type ... No. 15
Crystal system ... monoclinic

Cell: 6.7124 9.0626 9.0626 Å, 76.10 94.33 94.33°
Fractional coordinates of all 18 atoms:
Te 0.5216 0.0614 0.7262
Pr 0.0158 0.0068 0.7671
Pr 0.2500 0.6034 0.3966
Te 0.5537 0.4418 0.2488
Te 0.9463 0.7512 0.5582
Te 0.4463 0.5582 0.7512
Pr 0.9842 0.9932 0.2329
Li 0.9222 0.4140 0.1661
Li 0.5778 0.8339 0.5860
Li 0.0778 0.5860 0.8339
Te 0.0216 0.7262 0.0614
Pr 0.7500 0.3966 0.6034
Te 0.4784 0.9386 0.2738
Te 0.9784 0.2738 0.9386
Pr 0.4842 0.2329 0.9932
Te 0.0537 0.2488 0.4418
Pr 0.5158 0.7671 0.0068
Li 0.4222 0.1661 0.4140


[5]
A plane-wave DFT calculation with PBE was carried out for a relaxed structure of LiPr2Te4.

Results
Space-group type ... No. 11
Crystal system ... monoclinic
E ... -4.674 eV/atom

Cell: 7.8051 6.2928 9.0559 Å, 90.00 106.87 90.00°
Fractional coordinates of all 14 atoms:
Li 0.2222 0.7500 0.1801
Pr 0.2375 0.2500 0.9328
Te 0.4863 0.9943 0.7476
Pr 0.7595 0.7500 0.5634
Te 0.5137 0.0057 0.2524
Pr 0.2405 0.2500 0.4366
Li 0.7778 0.2500 0.8199
Te 0.9337 0.2500 0.1163
Te 0.0663 0.7500 0.8837
Te 0.0707 0.7500 0.4010
Pr 0.7625 0.7500 0.0672
Te 0.9293 0.2500 0.5990
Te 0.4863 0.5057 0.7476
Te 0.5137 0.4943 0.2524


[6]
A plane-wave DFT calculation with PBE was carried out for a relaxed structure of Li5PrTe4.

Results
Space-group type ... No. 71
Crystal system ... orthorhombic
E ... -3.798 eV/atom

Cell: 4.4899 8.2376 8.8632 Å, 117.69 104.67 90.00°
Fractional coordinates of all 10 atoms:
Te 0.0000 0.2713 0.0000
Li 0.1809 0.3810 0.3619
Te 0.0000 0.7287 0.0000
Li 0.8191 0.0192 0.6381
Te 0.7182 0.2182 0.4365
Li 0.1809 0.9808 0.3619
Li 0.8191 0.6190 0.6381
Te 0.2818 0.7818 0.5635
Pr 0.5000 0.0000 0.0000
Li 0.5000 0.5000 0.0000


[7]
A plane-wave DFT calculation with PBE was carried out for a relaxed structure of LiPr2Te.

Results
Energy above the most stable polymorph in this dataset ... 0.0357 eV/atom
Space-group type ... No. 160
Crystal system ... trigonal

Cell: 4.2820 4.2808 7.9867 Å, 74.47 74.45 59.99°
Site moments in Bohr magnetons follow the coordinates.
Fractional coordinates of all 4 atoms:
Te 0.1339 0.8967 0.8355  0.00
Li 0.4735 0.2358 0.8172  0.00
Pr 0.9045 0.6677 0.5233  0.11
Pr 0.6984 0.4619 0.1414  0.09


[8]
A plane-wave DFT calculation with PBE was carried out for a relaxed structure of LiPr4Te5.

Results
Energy above the most stable polymorph in this dataset ... 0.0000 eV/atom
Space-group type ... No. 79
Crystal system ... tetragonal

Cell: 6.3713 7.7769 7.7769 Å, 80.34 65.82 65.82°
Fractional coordinates of all 10 atoms:
Pr 0.4016 0.3987 0.7935
Pr 0.1951 0.2065 0.3987
Te 0.7119 0.1896 0.3815
Te 0.2831 0.8104 0.6185
Te 0.9016 0.3815 0.8104
Pr 0.8003 0.7935 0.6013
Li 0.0296 0.0000 0.0000
Te 0.5000 0.0000 0.0000
Te 0.0934 0.6185 0.1896
Pr 0.5938 0.6013 0.2065


[9]
A plane-wave DFT calculation with PBE was carried out for a relaxed structure of LiPr2Te.

Results
Energy above the most stable polymorph in this dataset ... 0.3275 eV/atom
Space-group type ... No. 166
Crystal system ... trigonal

Cell: 4.0754 4.0754 11.1814 Å, 79.50 79.50 60.00°
Fractional coordinates of all 4 atoms:
Te 0.5000 0.5000 0.5000
Pr 0.8947 0.8947 0.3160
Li 0.0000 0.0000 0.0000
Pr 0.1053 0.1053 0.6840


[10]
A plane-wave DFT calculation with PBE was carried out for a relaxed structure of Li2Pr5Te6.

Results
Space-group type ... No. 55
Crystal system ... orthorhombic
E ... -4.857 eV/atom

Cell: 4.3491 11.7947 15.2829 Å, 90.00 90.00 90.00°
Fractional coordinates of all 26 atoms:
Pr 0.5000 0.9136 0.7388
Pr 0.5000 0.0864 0.2612
Pr 0.5000 0.0000 0.5000
Pr 0.5000 0.1581 0.9949
Te 0.5000 0.6705 0.8370
Pr 0.5000 0.8419 0.0051
Pr 0.5000 0.6581 0.5051
Li 0.0000 0.6683 0.7265
Te 0.0000 0.9847 0.8845
Pr 0.5000 0.4136 0.7612
Li 0.0000 0.8317 0.2265
Te 0.0000 0.6643 0.0930
Te 0.0000 0.3357 0.9070
Te 0.5000 0.1705 0.6630
Li 0.0000 0.3317 0.2735
Li 0.0000 0.1683 0.7735
Te 0.5000 0.8295 0.3370
Te 0.0000 0.4847 0.6155
Pr 0.5000 0.3419 0.4949
Te 0.0000 0.5153 0.3845
Te 0.0000 0.0153 0.1155
Pr 0.5000 0.5864 0.2388
Te 0.0000 0.8357 0.5930
Pr 0.5000 0.5000 0.0000
Te 0.0000 0.1643 0.4070
Te 0.5000 0.3295 0.1630


[11]
A plane-wave DFT calculation with PBE was carried out for a relaxed structure of LiPr5Te8.

Results
Space-group type ... No. 82
Crystal system ... tetragonal
E ... -5.052 eV/atom

Cell: 8.2978 8.2978 8.2978 Å, 109.96 108.49 109.96°
Fractional coordinates of all 14 atoms:
Te 0.6353 0.3989 0.8818
Pr 0.3673 0.1209 0.9969
Te 0.9765 0.1086 0.7201
Te 0.6115 0.8914 0.8679
Te 0.4829 0.6011 0.2364
Pr 0.5000 0.0000 0.5000
Te 0.1321 0.7436 0.0235
Te 0.2799 0.2564 0.3885
Pr 0.8759 0.8791 0.2464
Pr 0.7536 0.6295 0.6327
Li 0.2500 0.5000 0.7500
Te 0.1182 0.7534 0.5171
Te 0.7636 0.2466 0.3647
Pr 0.0031 0.3705 0.1241


[12]
A plane-wave DFT calculation with PBE was carried out for a relaxed structure of LiPr4Te6.

Results
Space-group type ... No. 8
Crystal system ... monoclinic
E ... -4.978 eV/atom

Cell: 6.2252 6.2252 10.1334 Å, 107.93 107.93 90.01°
Fractional coordinates of all 11 atoms:
Te 0.0605 0.5766 0.6372
Pr 0.8760 0.3951 0.2717
Te 0.5767 0.0605 0.6372
Te 0.9997 0.4998 0.0000
Te 0.4229 0.4229 0.3626
Te 0.9392 0.9392 0.3628
Pr 0.6048 0.6048 0.7283
Te 0.4998 0.9997 0.0000
Pr 0.3951 0.8760 0.2717
Li 0.0018 0.0018 0.0001
Pr 0.1237 0.1237 0.7281


What did the seventh record say?
A plane-wave DFT calculation with PBE was carried out for a relaxed structure of LiPr2Te.

Results
Energy above the most stable polymorph in this dataset ... 0.0357 eV/atom
Space-group type ... No. 160
Crystal system ... trigonal

Cell: 4.2820 4.2808 7.9867 Å, 74.47 74.45 59.99°
Site moments in Bohr magnetons follow the coordinates.
Fractional coordinates of all 4 atoms:
Te 0.1339 0.8967 0.8355  0.00
Li 0.4735 0.2358 0.8172  0.00
Pr 0.9045 0.6677 0.5233  0.11
Pr 0.6984 0.4619 0.1414  0.09


Repeat the third record exactly.
A plane-wave DFT calculation with PBE was carried out for a relaxed structure of Li2Pr3Te4.

Results
Energy above the most stable polymorph in this dataset ... 0.0000 eV/atom
Space-group type ... No. 12
Crystal system ... monoclinic

Cell: 4.2529 7.8289 8.5265 Å, 72.28 75.56 74.24°
Fractional coordinates of all 9 atoms:
Te 0.3170 0.2754 0.0905
Pr 0.3774 0.5283 0.7169
Pr 0.6226 0.4717 0.2831
Te 0.9184 0.7571 0.4062
Li 0.3163 0.9983 0.3690
Pr 0.0000 0.0000 0.0000
Te 0.0816 0.2429 0.5938
Li 0.6837 0.0017 0.6310
Te 0.6830 0.7246 0.9095